No. 1
{"formula": "DyZnCu", "functional": "PBE", "state": "relaxed", "ef_ev_per_atom": -0.1338, "m_tot_mub_per_fu": 0.00, "n_ef_per_ev_atom": 1.18, "cell": [[0.000, 3.164, 3.164], [3.164, 0.000, 3.164], [3.164, 3.164, 0.000]], "species": ["Dy", "Zn", "Cu"], "frac_coords": [[0.000, 0.000, 0.000], [0.500, 0.500, 0.500], [0.750, 0.750, 0.750]]}

***

No. 2
{"formula": "Sc2FePb", "functional": "PBE", "state": "relaxed", "ef_ev_per_atom": -0.0455, "m_tot_mub_per_fu": 0.26, "n_ef_per_ev_atom": 0.87, "cell": [[1.665, 0.961, 8.866], [-1.665, 0.961, 8.866], [0.000, -1.923, 8.866]], "species": ["Sc", "Sc", "Fe", "Pb"], "frac_coords": [[0.232, 0.232, 0.232], [0.768, 0.768, 0.768], [0.500, 0.500, 0.500], [0.000, 0.000, 0.000]]}

***

No. 3
{"formula": "NbFeSe2", "functional": "PBE", "state": "relaxed", "m_tot_mub_per_fu": 1.87, "raw_formation_energy_ev_per_atom": -0.581, "n_ef_per_ev_atom": 0.36, "cell": [[8.126, 0.000, 0.000], [0.000, 6.135, 0.000], [-3.713, 0.000, 6.973]], "species": ["Nb", "Nb", "Nb", "Nb", "Fe", "Fe", "Fe", "Fe", "Se", "Se", "Se", "Se", "Se", "Se", "Se", "Se"], "frac_coords": [[0.027, 0.028, 0.324], [0.027, 0.472, 0.824], [0.973, 0.528, 0.176], [0.973, 0.972, 0.676], [0.115, 0.641, 0.561], [0.115, 0.859, 0.061], [0.885, 0.141, 0.939], [0.885, 0.359, 0.439], [0.208, 0.248, 0.147], [0.208, 0.252, 0.647], [0.292, 0.736, 0.395], [0.292, 0.764, 0.895], [0.708, 0.236, 0.105], [0.708, 0.264, 0.605], [0.792, 0.748, 0.353], [0.792, 0.752, 0.853]]}